First-principles (PBE) data for a geometry-optimized In2Ge2Rh structure, as listed in Alexandria.

Results
The formation energy is -0.04 eV/atom.

Cell: 6.4997 6.4997 4.8468 Å, 90.00 90.00 90.00°
Closest atoms and distances in Å follow each position.
Sites, in units of the cell vectors:
Ge  0.1430  0.3570  0.0000  2 Rh 2.50, 1 Ge 2.63
In  0.3208  0.1792  0.5000  6 Ge 2.92-3.21
In  0.1792  0.6792  0.5000  6 Ge 2.92-3.21
Ge  0.8570  0.6430  0.0000  2 Rh 2.50, 1 Ge 2.63
In  0.8208  0.3208  0.5000  6 Ge 2.92-3.21
Rh  0.0000  0.0000  0.0000  4 Ge 2.50
Ge  0.6430  0.1430  0.0000  2 Rh 2.50, 1 Ge 2.63
Ge  0.3570  0.8570  0.0000  2 Rh 2.50, 1 Ge 2.63
Rh  0.5000  0.5000  0.0000  4 Ge 2.50
In  0.6792  0.8208  0.5000  6 Ge 2.92-3.21